Entry 1:
The following is a PBE calculation of a relaxed structure of Zr2AlSe4, from the Alexandria database.

Cell lengths 14.0522, 3.6790, 6.6334 Å; angles 90.00, 117.67, 90.00 degrees
With the nearest neighbours (Å) after each atom.
Fractional positions:
Zr1 0.2452 0.0000 0.1996  6 Se 2.70-2.91
Zr2 0.2548 0.5000 0.8004  6 Se 2.70-2.91
Zr3 0.7452 0.5000 0.1996  6 Se 2.70-2.91
Zr4 0.7548 0.0000 0.8004  6 Se 2.70-2.91
Al1 0.0000 0.5000 0.5000  6 Se 2.57-2.65
Al2 0.5000 0.0000 0.5000  6 Se 2.57-2.65
Se1 0.1003 0.5000 0.9374  1 Al 2.57, 3 Zr 2.70-2.71
Se2 0.1257 0.0000 0.4598  2 Al 2.65, 3 Zr 2.82-2.91
Se3 0.3743 0.5000 0.5402  2 Al 2.65, 3 Zr 2.82-2.91
Se4 0.3997 0.0000 0.0626  1 Al 2.57, 3 Zr 2.70-2.71
Se5 0.6003 0.0000 0.9374  1 Al 2.57, 3 Zr 2.70-2.71
Se6 0.6257 0.5000 0.4598  2 Al 2.65, 3 Zr 2.82-2.91
Se7 0.8743 0.0000 0.5402  2 Al 2.65, 3 Zr 2.82-2.91
Se8 0.8997 0.5000 0.0626  1 Al 2.57, 3 Zr 2.70-2.71

Properties
Formation energy from raw total energies = -1.091 eV/atom
Total magnetization = 0.000 μB/atom
Mass density = 5.74 Mg/m³


Entry 2:
The following is a PBE calculation of a relaxed structure of ZrAl4Se, from the Alexandria database.

Cell lengths 5.3464, 5.3464, 5.3464 Å; angles 60.00, 60.00, 60.00 degrees
With the nearest neighbours (Å) after each atom.
Fractional positions:
Zr1 0.0000 0.0000 0.0000  12 Al 3.13, 4 Se 3.27
Al1 0.1198 0.6267 0.6267  6 Al 2.64-2.71
Al2 0.6267 0.1198 0.6267  6 Al 2.64-2.71
Al3 0.6267 0.6267 0.1198  6 Al 2.64-2.71
Al4 0.6267 0.6267 0.6267  6 Al 2.64-2.71
Se1 0.2500 0.2500 0.2500  12 Al 3.14, 4 Zr 3.27

Properties
Formation energy from raw total energies = -0.199 eV/atom
Total magnetization = 0.000 μB/atom
Mass density = 4.27 Mg/m³